Entry a
DFT (PBE) results for a geometry-optimized ReNi2Au structure.

Output
The density of states at the Fermi level is 12.3 states/eV per cell.

Unit cell a=5.5201 b=7.3892 c=2.6723 alpha=90.00 beta=90.00 gamma=90.00
Last column: nearest neighbours and their distance in Å.
Element x y z (fractional)
Re 0.0000 0.0000 0.0000  8 Ni 2.67, 2 Re 2.67, 2 Au 2.76
Re 0.5000 0.5000 0.0000  8 Ni 2.67, 2 Re 2.67, 2 Au 2.76
Ni 0.2500 0.2500 0.5000  4 Re 2.67, 4 Au 2.67, 4 Ni 2.67-2.76
Ni 0.2500 0.7500 0.5000  4 Re 2.67, 4 Au 2.67, 4 Ni 2.67-2.76
Ni 0.7500 0.2500 0.5000  4 Re 2.67, 4 Au 2.67, 4 Ni 2.67-2.76
Ni 0.7500 0.7500 0.5000  4 Re 2.67, 4 Au 2.67, 4 Ni 2.67-2.76
Au 0.0000 0.5000 0.0000  8 Ni 2.67, 2 Au 2.67, 2 Re 2.76
Au 0.5000 0.0000 0.0000  8 Ni 2.67, 2 Au 2.67, 2 Re 2.76

Entry b
DFT (PBE) results for a geometry-optimized ReNi2Au structure.

Output
The density of states at the Fermi level is 6.2 states/eV per cell.

Unit cell a=4.4777 b=4.4777 c=2.7238 alpha=90.00 beta=90.00 gamma=90.00
Last column: nearest neighbours and their distance in Å.
Element x y z (fractional)
Re 0.0000 0.0000 0.0000  8 Ni 2.62, 2 Re 2.72
Ni 0.0000 0.5000 0.5000  4 Re 2.62, 4 Au 2.62, 2 Ni 2.72
Ni 0.5000 0.0000 0.5000  4 Re 2.62, 4 Au 2.62, 2 Ni 2.72
Au 0.5000 0.5000 0.0000  8 Ni 2.62, 2 Au 2.72

Entry c
DFT (PBE) results for a geometry-optimized ReNi2Au structure.

Output
The density of states at the Fermi level is 9.4 states/eV per cell.

Unit cell a=3.9572 b=3.9572 c=6.8923 alpha=90.00 beta=90.00 gamma=90.00
Last column: nearest neighbours and their distance in Å.
Element x y z (fractional)
Re 0.0000 0.0000 0.0000  8 Ni 2.62, 4 Au 2.80
Re 0.5000 0.5000 0.5000  8 Ni 2.62, 4 Au 2.80
Ni 0.0000 0.5000 0.2500  4 Re 2.62, 4 Au 2.62, 4 Ni 2.80
Ni 0.0000 0.5000 0.7500  4 Re 2.62, 4 Au 2.62, 4 Ni 2.80
Ni 0.5000 0.0000 0.2500  4 Re 2.62, 4 Au 2.62, 4 Ni 2.80
Ni 0.5000 0.0000 0.7500  4 Re 2.62, 4 Au 2.62, 4 Ni 2.80
Au 0.0000 0.0000 0.5000  8 Ni 2.62, 4 Re 2.80
Au 0.5000 0.5000 0.0000  8 Ni 2.62, 4 Re 2.80

Entry d
DFT (PBE) results for a geometry-optimized ReNi2Au structure.

Output
The density of states at the Fermi level is 5.3 states/eV per cell.

Unit cell a=2.6979 b=4.4521 c=4.7336 alpha=90.00 beta=90.00 gamma=90.00
Last column: nearest neighbours and their distance in Å.
Element x y z (fractional)
Re 0.0000 0.0000 0.0000  4 Ni 2.60, 2 Re 2.70, 4 Au 2.72
Ni 0.0000 0.5000 0.5000  4 Au 2.60, 6 Ni 2.70-2.72
Ni 0.5000 0.5000 0.0000  4 Re 2.60, 6 Ni 2.70-2.72
Au 0.5000 0.0000 0.5000  4 Ni 2.60, 2 Au 2.70, 4 Re 2.72

Which is most stable? The ranking, best first, is entry a, entry c, entry b, entry d.